[1]
Here is a geometry-optimized NaSi2Pb2 structure from Alexandria via LeMat-Bulk. Energies are from PBE.

Computed properties:
* energy relative to the elements, uncorrected: 0.218 eV per atom
* E above lowest polymorph: 34.2 meV per atom
* Fermi-level density of states: 0.4823 states/eV per atom
* total magnetization: 0.00 μB per formula unit
* crystal system: tetragonal
* total DFT energy (no corrections): -3.70 eV/atom

a = 7.8802 Å, b = 7.8802 Å, c = 4.1395 Å
α = 90.00°, β = 90.00°, γ = 90.00°
Space group P4/mbm (No. 127)
Unique sites:
Na: 0.0000 0.0000 0.0000
Si: 0.1065 0.3935 0.0000
Pb: 0.1722 0.6722 0.5000

=====

[2]
Here is a geometry-optimized NaSiPb2 structure from Alexandria via LeMat-Bulk. Energies are from PBE.

Computed properties:
* energy relative to the elements, uncorrected: 0.139 eV per atom
* Fermi-level density of states: 0.5688 states/eV per atom
* total magnetization: 0.00 μB per formula unit
* crystal system: tetragonal
* total DFT energy (no corrections): -3.40 eV/atom

a = 8.5950 Å, b = 8.5950 Å, c = 6.2486 Å
α = 90.00°, β = 90.00°, γ = 90.00°
Space group I-42d (No. 122)
Unique sites:
Na: 0.0000 0.0000 0.0000
Si: 0.0000 0.0000 0.5000
Pb: 0.1879 0.2500 0.6250